Material: Pm6PSe5
Method: DFT, GGA-PBE
State: relaxed

Total magnetization   0.00 Bohr magnetons per cell
DFT total energy   -73.40 eV/cell
ΔE_f (raw)   -1.838 eV/atom

Cell: 7.256 7.256 7.272 Å, 99.51 99.51 120.07°
Atoms (fractional coordinates):
P1 0.000 0.000 0.000
Se1 0.830 0.170 0.500
Se2 0.666 0.334 0.000
Se3 0.500 0.500 0.500
Se4 0.334 0.666 0.000
Se5 0.170 0.830 0.500
Pm1 0.395 0.079 0.238
Pm2 0.921 0.605 0.762
Pm3 0.237 0.237 0.762
Pm4 0.763 0.763 0.238
Pm5 0.079 0.395 0.238
Pm6 0.605 0.921 0.762